Here is an optimized crystal structure of MgZnPt14 from the Alexandria database. Energies are from PBE-GGA.

Output
Energy of formation ... -200 meV/atom
D(E_F) ... 1.426 states/eV per atom
Total magnetization ... 0.00 μB/f.u.
Electronic total energy ... -90.65 eV/cell

abc: 9.281 5.560 5.560
angles: 60.34 90.00 90.00
Positions (direct):
Mg (0.000, 0.000, 0.000)
Zn (0.000, 0.502, 0.502)
Pt (0.000, 0.000, 0.499)
Pt (0.000, 0.499, 0.000)
Pt (0.243, 0.333, 0.832)
Pt (0.243, 0.832, 0.333)
Pt (0.244, 0.334, 0.334)
Pt (0.246, 0.834, 0.834)
Pt (0.500, 0.168, 0.168)
Pt (0.500, 0.168, 0.667)
Pt (0.500, 0.667, 0.168)
Pt (0.500, 0.667, 0.667)
Pt (0.754, 0.834, 0.834)
Pt (0.756, 0.334, 0.334)
Pt (0.757, 0.333, 0.832)
Pt (0.757, 0.832, 0.333)